--- A ---
Material: ZrTc3Se
Method: DFT, PBE
State: optimized geometry

a b c (Å): 4.847 4.847 4.847
angles (deg): 90.00 90.00 90.00
Positions (direct):
1 Zr 0.000 0.000 0.000
2 Tc 0.000 0.000 0.500
3 Tc 0.000 0.500 0.000
4 Tc 0.500 0.000 0.000
5 Se 0.500 0.500 0.500

***

--- B ---
Material: ZrTc3Se
Method: DFT, PBE
State: optimized geometry

a b c (Å): 4.529 4.529 4.529
angles (deg): 90.00 90.00 90.00
Positions (direct):
1 Zr 0.000 0.000 0.000
2 Tc 0.000 0.500 0.500
3 Tc 0.500 0.000 0.500
4 Tc 0.500 0.500 0.000
5 Se 0.500 0.500 0.500

***

Most stable: B. Least stable: A.

***

--- A ---
Material: Te5Se
Method: DFT, PBE
State: optimized geometry

a b c (Å): 6.261 6.261 6.261
angles (deg): 60.00 60.00 60.00
Positions (direct):
1 Te 0.000 0.000 0.000
2 Te 0.126 0.625 0.625
3 Te 0.625 0.126 0.625
4 Te 0.625 0.625 0.126
5 Te 0.625 0.625 0.625
6 Se 0.250 0.250 0.250

***

--- B ---
Material: Te5Se
Method: DFT, PBE
State: optimized geometry

a b c (Å): 6.027 6.027 5.860
angles (deg): 90.00 90.00 120.00
Positions (direct):
1 Te 0.000 0.500 0.000
2 Te 0.333 0.667 0.500
3 Te 0.500 0.000 0.000
4 Te 0.500 0.500 0.000
5 Te 0.667 0.333 0.500
6 Se 0.000 0.000 0.500

***

Most stable: B. Least stable: A.

***

--- A ---
Material: Te4Se
Method: DFT, PBE
State: optimized geometry

a b c (Å): 5.469 5.469 5.469
angles (deg): 90.00 90.00 90.00
Positions (direct):
1 Te 0.000 0.000 0.000
2 Te 0.000 0.500 0.500
3 Te 0.500 0.000 0.500
4 Te 0.500 0.500 0.000
5 Se 0.500 0.500 0.500

***

--- B ---
Material: Te4Se
Method: DFT, PBE
State: optimized geometry

a b c (Å): 6.048 6.048 6.048
angles (deg): 98.02 98.02 136.14
Positions (direct):
1 Te 0.000 0.288 0.288
2 Te 0.000 0.712 0.712
3 Te 0.288 0.000 0.288
4 Te 0.712 0.000 0.712
5 Se 0.500 0.500 0.000

***

--- C ---
Material: Te4Se
Method: DFT, PBE
State: optimized geometry

a b c (Å): 6.292 6.292 6.292
angles (deg): 122.52 122.52 85.69
Positions (direct):
1 Te 0.196 0.196 0.000
2 Te 0.250 0.750 0.500
3 Te 0.750 0.250 0.500
4 Te 0.804 0.804 0.000
5 Se 0.500 0.500 0.000

***

Most stable: C. Least stable: A.

***

--- A ---
Material: TeSe4
Method: DFT, PBE
State: optimized geometry

a b c (Å): 6.016 6.016 6.016
angles (deg): 126.55 126.55 78.98
Positions (direct):
1 Te 0.000 0.000 0.000
2 Se 0.250 0.750 0.500
3 Se 0.298 0.298 0.000
4 Se 0.702 0.702 0.000
5 Se 0.750 0.250 0.500

***

--- B ---
Material: TeSe4
Method: DFT, PBE
State: optimized geometry

a b c (Å): 5.376 5.376 5.376
angles (deg): 90.00 90.00 90.00
Positions (direct):
1 Te 0.000 0.000 0.000
2 Se 0.000 0.000 0.500
3 Se 0.000 0.500 0.000
4 Se 0.500 0.000 0.000
5 Se 0.500 0.500 0.500

***

--- C ---
Material: TeSe4
Method: DFT, PBE
State: optimized geometry

a b c (Å): 5.672 5.672 5.672
angles (deg): 109.47 109.47 109.47
Positions (direct):
1 Te 0.000 0.000 0.000
2 Se 0.000 0.000 0.500
3 Se 0.000 0.500 0.000
4 Se 0.500 0.000 0.000
5 Se 0.500 0.500 0.500

***

--- D ---
Material: TeSe4
Method: DFT, PBE
State: optimized geometry

a b c (Å): 5.157 8.092 9.840
angles (deg): 67.71 74.94 71.56
Positions (direct):
1 Te 0.000 0.000 0.000
2 Te 0.376 0.500 0.500
3 Se 0.011 0.338 0.942
4 Se 0.087 0.839 0.442
5 Se 0.170 0.371 0.344
6 Se 0.293 0.005 0.209
7 Se 0.490 0.870 0.844
8 Se 0.709 0.108 0.762
9 Se 0.795 0.608 0.262
10 Se 0.870 0.506 0.709

***

Most stable: D. Least stable: B.

***

--- A ---
Material: Te5Se4
Method: DFT, PBE
State: optimized geometry

a b c (Å): 9.067 9.067 6.674
angles (deg): 90.00 90.00 120.00
Positions (direct):
1 Te 0.000 0.257 0.250
2 Te 0.000 0.743 0.750
3 Te 0.257 0.000 0.250
4 Te 0.257 0.257 0.750
5 Te 0.333 0.667 0.000
6 Te 0.333 0.667 0.500
7 Te 0.667 0.333 0.000
8 Te 0.667 0.333 0.500
9 Te 0.743 0.000 0.750
10 Te 0.743 0.743 0.250
11 Se 0.000 0.000 0.000
12 Se 0.000 0.000 0.500
13 Se 0.000 0.350 0.750
14 Se 0.000 0.650 0.250
15 Se 0.350 0.000 0.750
16 Se 0.350 0.350 0.250
17 Se 0.650 0.000 0.250
18 Se 0.650 0.650 0.750

***

--- B ---
Material: Te5Se4
Method: DFT, PBE
State: optimized geometry

a b c (Å): 8.914 8.914 8.914
angles (deg): 92.95 92.95 153.76
Positions (direct):
1 Te 0.000 0.000 0.000
2 Te 0.316 0.316 0.632
3 Te 0.316 0.684 0.000
4 Te 0.684 0.316 0.000
5 Te 0.684 0.684 0.368
6 Se 0.000 0.227 0.227
7 Se 0.000 0.773 0.773
8 Se 0.227 0.000 0.227
9 Se 0.773 0.000 0.773

***

Most stable: B. Least stable: A.

***

--- A ---
Material: ThTeSe
Method: DFT, PBE
State: optimized geometry

a b c (Å): 5.810 5.810 5.810
angles (deg): 140.01 140.01 57.83
Positions (direct):
1 Th 0.000 0.000 0.000
2 Te 0.331 0.331 0.000
3 Se 0.638 0.638 0.000

***

--- B ---
Material: ThTeSe
Method: DFT, PBE
State: optimized geometry

a b c (Å): 4.648 4.648 8.101
angles (deg): 90.00 90.00 90.00
Positions (direct):
1 Th 0.250 0.250 0.226
2 Th 0.750 0.750 0.774
3 Te 0.250 0.250 0.629
4 Te 0.750 0.750 0.371
5 Se 0.250 0.750 0.000
6 Se 0.750 0.250 0.000

***

--- C ---
Material: ThTeSe
Method: DFT, PBE
State: optimized geometry

a b c (Å): 4.442 4.442 14.178
angles (deg): 92.73 92.73 60.08
Positions (direct):
1 Th 0.000 0.000 0.000
2 Th 0.578 0.578 0.469
3 Te 0.257 0.257 0.598
4 Te 0.654 0.654 0.871
5 Se 0.344 0.344 0.100
6 Se 0.901 0.901 0.369

***

Most stable: B. Least stable: A.

***

--- A ---
Material: ThTeSe
Method: DFT, PBE
State: optimized geometry

a b c (Å): 7.788 8.891 7.716
angles (deg): 90.00 111.41 90.00
Positions (direct):
1 Th 0.002 0.126 0.243
2 Th 0.002 0.374 0.743
3 Th 0.998 0.626 0.257
4 Th 0.998 0.874 0.757
5 Te 0.248 0.621 0.014
6 Te 0.248 0.879 0.514
7 Te 0.752 0.121 0.486
8 Te 0.752 0.379 0.986
9 Se 0.197 0.128 0.984
10 Se 0.197 0.372 0.484
11 Se 0.803 0.628 0.516
12 Se 0.803 0.872 0.016

***

--- B ---
Material: ThTeSe
Method: DFT, PBE
State: optimized geometry

a b c (Å): 4.903 4.903 4.288
angles (deg): 90.00 90.00 120.00
Positions (direct):
1 Th 0.000 0.000 0.000
2 Te 0.333 0.667 0.500
3 Se 0.667 0.333 0.000

***

--- C ---
Material: ThTeSe
Method: DFT, PBE
State: optimized geometry

a b c (Å): 5.156 5.156 5.156
angles (deg): 60.00 60.00 60.00
Positions (direct):
1 Th 0.000 0.000 0.000
2 Te 0.750 0.750 0.750
3 Se 0.250 0.250 0.250

***

Most stable: A. Least stable: B.

***

--- A ---
Material: Th2TeSe3
Method: DFT, PBE
State: optimized geometry

a b c (Å): 9.238 9.238 11.782
angles (deg): 126.42 126.42 29.71
Positions (direct):
1 Th 0.034 0.034 0.241
2 Th 0.258 0.258 0.812
3 Th 0.742 0.742 0.188
4 Th 0.966 0.966 0.759
5 Te 0.370 0.370 0.169
6 Te 0.630 0.630 0.831
7 Se 0.105 0.105 0.528
8 Se 0.120 0.120 0.081
9 Se 0.355 0.355 0.679
10 Se 0.645 0.645 0.321
11 Se 0.880 0.880 0.919
12 Se 0.895 0.895 0.472

***

--- B ---
Material: Th2TeSe3
Method: DFT, PBE
State: optimized geometry

a b c (Å): 8.787 8.787 8.787
angles (deg): 100.07 100.07 33.18
Positions (direct):
1 Th 0.127 0.127 0.390
2 Th 0.364 0.364 0.131
3 Th 0.636 0.636 0.869
4 Th 0.873 0.873 0.610
5 Te 0.439 0.439 0.813
6 Te 0.561 0.561 0.187
7 Se 0.066 0.066 0.685
8 Se 0.186 0.186 0.061
9 Se 0.308 0.308 0.435
10 Se 0.692 0.692 0.565
11 Se 0.814 0.814 0.939
12 Se 0.934 0.934 0.315

***

Most stable: B. Least stable: A.

***

--- A ---
Material: Th2Te2Se
Method: DFT, PBE
State: optimized geometry

a b c (Å): 8.028 8.028 6.356
angles (deg): 113.26 113.26 62.22
Positions (direct):
1 Th 0.138 0.650 0.894
2 Th 0.350 0.862 0.606
3 Th 0.650 0.138 0.394
4 Th 0.862 0.350 0.106
5 Te 0.003 0.291 0.647
6 Te 0.291 0.003 0.147
7 Te 0.709 0.997 0.853
8 Te 0.997 0.709 0.353
9 Se 0.500 0.500 0.250
10 Se 0.500 0.500 0.750

***

--- B ---
Material: Th2Te2Se
Method: DFT, PBE
State: optimized geometry

a b c (Å): 9.282 9.282 8.161
angles (deg): 90.00 90.00 152.97
Positions (direct):
1 Th 0.055 0.945 0.500
2 Th 0.306 0.694 0.437
3 Th 0.694 0.306 0.937
4 Th 0.945 0.055 0.000
5 Te 0.311 0.689 0.045
6 Te 0.443 0.557 0.694
7 Te 0.557 0.443 0.194
8 Te 0.689 0.311 0.545
9 Se 0.093 0.907 0.850
10 Se 0.907 0.093 0.350

***

Most stable: A. Least stable: B.

***

--- A ---
Material: Ti2TeSe2
Method: DFT, PBE
State: optimized geometry

a b c (Å): 7.549 7.549 3.395
angles (deg): 90.00 90.00 90.00
Positions (direct):
1 Ti 0.137 0.363 0.000
2 Ti 0.363 0.863 0.000
3 Ti 0.637 0.137 0.000
4 Ti 0.863 0.637 0.000
5 Te 0.000 0.000 0.000
6 Te 0.500 0.500 0.000
7 Se 0.139 0.639 0.500
8 Se 0.361 0.139 0.500
9 Se 0.639 0.861 0.500
10 Se 0.861 0.361 0.500

***

--- B ---
Material: Ti2TeSe2
Method: DFT, PBE
State: optimized geometry

a b c (Å): 10.360 10.360 10.360
angles (deg): 20.70 20.70 20.70
Positions (direct):
1 Ti 0.101 0.101 0.101
2 Ti 0.899 0.899 0.899
3 Te 0.500 0.500 0.500
4 Se 0.276 0.276 0.276
5 Se 0.724 0.724 0.724

***

Most stable: B. Least stable: A.